# meta-GGA SCAN SrBeNi2Hg, PBEsol geometry
data_SrBeNi2Hg
_chemical_formula_sum 'Sr1 Be1 Ni2 Hg1'
_cell_length_a 4.773
_cell_length_b 4.773
_cell_length_c 5.641
_cell_angle_alpha 90.00
_cell_angle_beta 90.00
_cell_angle_gamma 90.00
_space_group_name_H-M_alt 'P 4/m m m'
_space_group_IT_number 123
_space_group_name_Hall '-P 4 2'
loop_
_atom_site_label
_atom_site_type_symbol
_atom_site_fract_x
_atom_site_fract_y
_atom_site_fract_z
Sr1 Sr 0.000 0.000 0.000
Be1 Be 0.500 0.500 0.000
Ni1 Ni 0.000 0.500 0.500
Hg1 Hg 0.000 0.000 0.500
# D(E_F) ... 0.4731 states/eV per atom
# Spin magnetization ... 1.7 Bohr magnetons per cell
# ΔH_f (0 K) ... 5.676 eV/f.u.


# meta-GGA SCAN BeHgP2O, PBEsol geometry
data_BeHgP2O
_chemical_formula_sum 'Be1 Hg1 P2 O1'
_cell_length_a 5.085
_cell_length_b 5.085
_cell_length_c 2.898
_cell_angle_alpha 90.00
_cell_angle_beta 90.00
_cell_angle_gamma 90.00
_space_group_name_H-M_alt 'P 4/m m m'
_space_group_IT_number 123
_space_group_name_Hall '-P 4 2'
loop_
_atom_site_label
_atom_site_type_symbol
_atom_site_fract_x
_atom_site_fract_y
_atom_site_fract_z
Be1 Be 0.000 0.000 0.000
Hg1 Hg 0.500 0.500 0.500
P1 P 0.000 0.500 0.000
O1 O 0.000 0.000 0.500
# D(E_F) ... 0.4331 states/eV per atom
# Spin magnetization ... 0.0 Bohr magnetons per cell
# Energy relative to the elements, uncorrected ... 0.01 eV/atom


# meta-GGA SCAN RbBeHg2Os, PBEsol geometry
data_RbBeHg2Os
_chemical_formula_sum 'Rb1 Be1 Hg2 Os1'
_cell_length_a 5.282
_cell_length_b 5.282
_cell_length_c 4.405
_cell_angle_alpha 90.00
_cell_angle_beta 90.00
_cell_angle_gamma 90.00
_space_group_name_H-M_alt 'P 4/m m m'
_space_group_IT_number 123
_space_group_name_Hall '-P 4 2'
loop_
_atom_site_label
_atom_site_type_symbol
_atom_site_fract_x
_atom_site_fract_y
_atom_site_fract_z
Rb1 Rb 0.000 0.000 0.000
Be1 Be 0.500 0.500 0.000
Hg1 Hg 0.000 0.500 0.500
Os1 Os 0.500 0.500 0.500
# D(E_F) ... 0.4510 states/eV per atom
# Spin magnetization ... 0.0 Bohr magnetons per cell
# ΔH_f (0 K) ... 1.782 eV/f.u.


# meta-GGA SCAN BeHgP2, PBEsol geometry
data_BeHgP2
_chemical_formula_sum 'Be2 Hg2 P4'
_cell_length_a 5.002
_cell_length_b 7.073
_cell_length_c 4.144
_cell_angle_alpha 90.00
_cell_angle_beta 119.07
_cell_angle_gamma 90.00
_space_group_name_H-M_alt 'C 1 2/m 1'
_space_group_IT_number 12
_space_group_name_Hall '-C 2y'
loop_
_atom_site_label
_atom_site_type_symbol
_atom_site_fract_x
_atom_site_fract_y
_atom_site_fract_z
Be1 Be 0.000 0.000 0.000
Hg1 Hg 0.000 0.500 0.000
P1 P 0.250 0.250 0.500
# D(E_F) ... 0.3273 states/eV per atom
# Spin magnetization ... 0.0 Bohr magnetons per cell
# ΔH_f (0 K) ... 2.022 eV/f.u.


# meta-GGA SCAN BeHgPb, PBEsol geometry
data_BeHgPb
_chemical_formula_sum 'Be1 Hg1 Pb1'
_cell_length_a 4.2316
_cell_length_b 4.2316
_cell_length_c 4.0838
_cell_angle_alpha 90.00
_cell_angle_beta 90.00
_cell_angle_gamma 120.00
_space_group_name_H-M_alt 'P 3 m 1'
_space_group_IT_number 156
_space_group_name_Hall 'P 3 -2"'
loop_
_atom_site_label
_atom_site_type_symbol
_atom_site_fract_x
_atom_site_fract_y
_atom_site_fract_z
Be1 Be 0.0000 0.0000 0.0000
Hg1 Hg 0.3333 0.6667 0.0017
Pb1 Pb 0.6667 0.3333 0.5017
# D(E_F) ... 0.2760 states/eV per atom
# Spin magnetization ... 0.0 Bohr magnetons per cell
# ΔH_f (0 K) ... 0.969 eV/f.u.


# meta-GGA SCAN BeHg2Pb, PBEsol geometry
data_BeHg2Pb
_chemical_formula_sum 'Be2 Hg4 Pb2'
_cell_length_a 4.413
_cell_length_b 4.413
_cell_length_c 8.855
_cell_angle_alpha 90.00
_cell_angle_beta 90.00
_cell_angle_gamma 90.00
_space_group_name_H-M_alt 'I -4 m 2'
_space_group_IT_number 119
_space_group_name_Hall 'I -4 -2'
loop_
_atom_site_label
_atom_site_type_symbol
_atom_site_fract_x
_atom_site_fract_y
_atom_site_fract_z
Be1 Be 0.000 0.000 0.000
Hg1 Hg 0.000 0.000 0.500
Hg2 Hg 0.000 0.500 0.250
Pb1 Pb 0.000 0.500 0.750
# D(E_F) ... 0.4767 states/eV per atom
# Offset from the most stable computed form ... 315 meV per atom
# Spin magnetization ... 0.0 Bohr magnetons per cell
# ΔH_f (0 K) ... 2.070 eV/f.u.


# meta-GGA SCAN BeHg2Pb, PBEsol geometry
data_BeHg2Pb
_chemical_formula_sum 'Be1 Hg2 Pb1'
_cell_length_a 4.734
_cell_length_b 3.437
_cell_length_c 6.142
_cell_angle_alpha 90.00
_cell_angle_beta 112.42
_cell_angle_gamma 90.00
_space_group_name_H-M_alt 'P 1 m 1'
_space_group_IT_number 6
_space_group_name_Hall 'P -2y'
loop_
_atom_site_label
_atom_site_type_symbol
_atom_site_fract_x
_atom_site_fract_y
_atom_site_fract_z
Be1 Be 0.000 0.000 0.000
Hg1 Hg 0.537 0.000 0.074
Hg2 Hg 0.848 0.500 0.701
Pb1 Pb 0.186 0.500 0.372
# D(E_F) ... 0.3170 states/eV per atom
# Offset from the most stable computed form ... 0 meV per atom
# Spin magnetization ... 0.0 Bohr magnetons per cell
# ΔH_f (0 K) ... 0.809 eV/f.u.


# meta-GGA SCAN BeHg2Pb, PBEsol geometry
data_BeHg2Pb
_chemical_formula_sum 'Be2 Hg4 Pb2'
_cell_length_a 4.058
_cell_length_b 4.058
_cell_length_c 10.598
_cell_angle_alpha 90.00
_cell_angle_beta 90.00
_cell_angle_gamma 90.00
_space_group_name_H-M_alt 'I 4/m m m'
_space_group_IT_number 139
_space_group_name_Hall '-I 4 2'
loop_
_atom_site_label
_atom_site_type_symbol
_atom_site_fract_x
_atom_site_fract_y
_atom_site_fract_z
Be1 Be 0.000 0.000 0.000
Hg1 Hg 0.000 0.500 0.250
Pb1 Pb 0.000 0.000 0.500
# D(E_F) ... 0.4275 states/eV per atom
# Offset from the most stable computed form ... 283 meV per atom
# Spin magnetization ... 0.0 Bohr magnetons per cell
# ΔH_f (0 K) ... 1.939 eV/f.u.


# meta-GGA SCAN BeHg2Pb, PBEsol geometry
data_BeHg2Pb
_chemical_formula_sum 'Be3 Hg6 Pb3'
_cell_length_a 3.4626
_cell_length_b 3.4626
_cell_length_c 24.6276
_cell_angle_alpha 90.00
_cell_angle_beta 90.00
_cell_angle_gamma 120.00
_space_group_name_H-M_alt 'R 3 m'
_space_group_IT_number 160
_space_group_name_Hall 'R 3 -2"'
loop_
_atom_site_label
_atom_site_type_symbol
_atom_site_fract_x
_atom_site_fract_y
_atom_site_fract_z
Be1 Be 0.0000 0.0000 0.0000
Hg1 Hg 0.0000 0.0000 0.2743
Hg2 Hg 0.0000 0.0000 0.5148
Pb1 Pb 0.0000 0.0000 0.7448
# D(E_F) ... 0.3750 states/eV per atom
# Offset from the most stable computed form ... 63 meV per atom
# Spin magnetization ... 0.0 Bohr magnetons per cell
# ΔH_f (0 K) ... 1.061 eV/f.u.


# meta-GGA SCAN BeHg3Pd, PBEsol geometry
data_BeHg3Pd
_chemical_formula_sum 'Be1 Hg3 Pd1'
_cell_length_a 4.568
_cell_length_b 4.568
_cell_length_c 4.568
_cell_angle_alpha 90.00
_cell_angle_beta 90.00
_cell_angle_gamma 90.00
_space_group_name_H-M_alt 'P m -3 m'
_space_group_IT_number 221
_space_group_name_Hall '-P 4 2 3'
loop_
_atom_site_label
_atom_site_type_symbol
_atom_site_fract_x
_atom_site_fract_y
_atom_site_fract_z
Be1 Be 0.000 0.000 0.000
Hg1 Hg 0.000 0.000 0.500
Pd1 Pd 0.500 0.500 0.500
# D(E_F) ... 0.3883 states/eV per atom
# Spin magnetization ... 0.0 Bohr magnetons per cell
# ΔH_f (0 K) ... 1.713 eV/f.u.


# meta-GGA SCAN BeHg2Pt, PBEsol geometry
data_BeHg2Pt
_chemical_formula_sum 'Be2 Hg4 Pt2'
_cell_length_a 5.547
_cell_length_b 9.360
_cell_length_c 3.014
_cell_angle_alpha 90.00
_cell_angle_beta 118.90
_cell_angle_gamma 90.00
_space_group_name_H-M_alt 'C 1 2/m 1'
_space_group_IT_number 12
_space_group_name_Hall '-C 2y'
loop_
_atom_site_label
_atom_site_type_symbol
_atom_site_fract_x
_atom_site_fract_y
_atom_site_fract_z
Be1 Be 0.000 0.000 0.000
Hg1 Hg 0.250 0.250 0.000
Pt1 Pt 0.000 0.500 0.000
# D(E_F) ... 0.3143 states/eV per atom
# Offset from the most stable computed form ... 429 meV per atom
# Spin magnetization ... 0.0 Bohr magnetons per cell
# ΔH_f (0 K) ... 1.092 eV/f.u.


# meta-GGA SCAN BeHg2Pt, PBEsol geometry
data_BeHg2Pt
_chemical_formula_sum 'Be1 Hg2 Pt1'
_cell_length_a 2.884
_cell_length_b 2.884
_cell_length_c 8.103
_cell_angle_alpha 90.00
_cell_angle_beta 90.00
_cell_angle_gamma 90.00
_space_group_name_H-M_alt 'P 4 m m'
_space_group_IT_number 99
_space_group_name_Hall 'P 4 -2'
loop_
_atom_site_label
_atom_site_type_symbol
_atom_site_fract_x
_atom_site_fract_y
_atom_site_fract_z
Be1 Be 0.000 0.000 0.000
Hg1 Hg 0.000 0.000 0.585
Hg2 Hg 0.500 0.500 0.254
Pt1 Pt 0.500 0.500 0.865
# D(E_F) ... 0.2642 states/eV per atom
# Offset from the most stable computed form ... 0 meV per atom
# Spin magnetization ... 0.0 Bohr magnetons per cell
# ΔH_f (0 K) ... -0.623 eV/f.u.